This record from the Alexandria database describes crystalline Tc2IrRu at its relaxed geometry. The functional is PBE.

Results
calculated total energy = -39.0 eV for the cell shown
formation energy from the elements = -0.04 eV/atom
space-group type = No. 12
ρ = 14.14 g/cm3

a = 4.742 Å, b = 4.742 Å, c = 4.714 Å
α = 99.31°, β = 99.31°, γ = 33.36°
Sites, in units of the cell vectors:
Tc 0.250 0.250 0.247
Tc 0.750 0.750 0.753
Ir 0.000 0.000 0.500
Ru 0.500 0.500 0.000